KSnHg2Au, relaxed, DFT GGA-PBE; energy of formation from the pure elements = -0.202 eV/atom; E above lowest polymorph = 0 meV/atom
1.0
4.773 0.000 0.000
0.000 4.925 0.000
-2.386 -2.462 6.153
Au Sn Hg K
1 1 2 1
Cartesian
2.386 2.462 3.953
0.000 2.462 2.474
2.386 0.000 2.461
0.000 0.000 0.592
0.000 0.000 5.437